(1)
Below is a geometry-optimized Ti2HPd structure, with properties calculated at the PBEsol level.

Cell: 2.8622 2.8622 11.6809 Å, 90.00 90.00 90.00°
Space group P4/mmm (No. 123)
Inequivalent atoms, fractional coordinates:
Ti: 0.0000 0.0000 0.1581
Ti: 0.5000 0.5000 0.3331
H: 0.0000 0.0000 0.3200
Pd: 0.0000 0.0000 0.5000
Pd: 0.5000 0.5000 0.0000

The calculated total energy is -6.971 eV per atom.

---

(2)
Below is a geometry-optimized YNi2Pt structure, with properties calculated at the PBEsol level.

Cell: 4.0451 4.0451 7.2400 Å, 90.00 90.00 90.00°
Space group I4/mmm (No. 139)
Inequivalent atoms, fractional coordinates:
Y: 0.0000 0.0000 0.0000
Ni: 0.0000 0.5000 0.2500
Pt: 0.0000 0.0000 0.5000

Its formation enthalpy at 0 K is -10.2 kcal/mol of atoms. The calculated total energy is -6.966 eV per atom.

---

(3)
Below is a geometry-optimized BWSe2Br structure, with properties calculated at the PBEsol level.

Cell: 4.8118 4.8118 5.2066 Å, 90.00 90.00 90.00°
Space group P4/mmm (No. 123)
Inequivalent atoms, fractional coordinates:
B: 0.0000 0.0000 0.0000
W: 0.5000 0.5000 0.5000
Se: 0.0000 0.5000 0.5000
Br: 0.5000 0.5000 0.0000

The calculated total energy is -4.919 eV per atom.

---

(4)
Below is a geometry-optimized TcPt5 structure, with properties calculated at the PBEsol level.

Cell: 4.5488 2.7295 14.3136 Å, 90.00 90.00 90.00°
Space group Amm2 (No. 38)
Inequivalent atoms, fractional coordinates:
Tc: 0.0000 0.0000 0.0000
Pt: 0.0000 0.0000 0.3384
Pt: 0.0000 0.0000 0.6624
Pt: 0.5000 0.0000 0.1065
Pt: 0.5000 0.0000 0.4420
Pt: 0.5000 0.0000 0.7733

Its formation enthalpy at 0 K is -0.4 kcal/mol of atoms. The calculated total energy is -7.697 eV per atom. For the distance to the lowest polymorph of the same formula, the calculation gives 0.088 eV/atom.

---

(5)
Below is a geometry-optimized Th7Ni3 structure, with properties calculated at the PBEsol level.

Cell: 9.6865 9.6865 6.1168 Å, 90.00 90.00 120.00°
Space group P6_3mc (No. 186)
Inequivalent atoms, fractional coordinates:
Th: 0.0885 0.5442 0.0000
Th: 0.1268 0.2535 0.2954
Th: 0.3333 0.6667 0.4681
Ni: 0.1865 0.3731 0.7309

Its formation enthalpy at 0 K is -6.2 kcal/mol of atoms. The calculated total energy is -7.790 eV per atom.

---

(6)
Below is a geometry-optimized ZrBRh3 structure, with properties calculated at the PBEsol level.

Cell: 4.0856 4.0856 4.0856 Å, 90.00 90.00 90.00°
Space group Pm-3m (No. 221)
Inequivalent atoms, fractional coordinates:
Zr: 0.0000 0.0000 0.0000
B: 0.5000 0.5000 0.5000
Rh: 0.0000 0.5000 0.5000

Its formation enthalpy at 0 K is -17.6 kcal/mol of atoms. The calculated total energy is -8.868 eV per atom.

---

(7)
Below is a geometry-optimized SrMnAl3 structure, with properties calculated at the PBEsol level.

Cell: 4.6383 4.6383 4.6383 Å, 90.00 90.00 90.00°
Space group Pm-3m (No. 221)
Inequivalent atoms, fractional coordinates:
Sr: 0.0000 0.0000 0.0000
Mn: 0.5000 0.5000 0.5000
Al: 0.0000 0.5000 0.5000

Its formation enthalpy at 0 K is -4.3 kcal/mol of atoms. The calculated total energy is -4.961 eV per atom.

---

(8)
Below is a geometry-optimized SrHS2N structure, with properties calculated at the PBEsol level.

Cell: 5.7979 5.7979 5.0855 Å, 90.00 90.00 90.00°
Space group P4/mmm (No. 123)
Inequivalent atoms, fractional coordinates:
Sr: 0.0000 0.0000 0.0000
H: 0.5000 0.5000 0.5000
S: 0.0000 0.5000 0.0000
N: 0.0000 0.0000 0.5000

The calculated total energy is -3.077 eV per atom.

---

(9)
Below is a geometry-optimized LiZrCo4 structure, with properties calculated at the PBEsol level.

Cell: 6.6361 6.6361 6.6361 Å, 90.00 90.00 90.00°
Space group F-43m (No. 216)
Inequivalent atoms, fractional coordinates:
Li: 0.0000 0.0000 0.0000
Zr: 0.2500 0.2500 0.2500
Co: 0.1254 0.1254 0.6254

Its formation enthalpy at 0 K is -3.7 kcal/mol of atoms. The calculated total energy is -7.160 eV per atom.

---

(10)
Below is a geometry-optimized Ti3Ga structure, with properties calculated at the PBEsol level.

Cell: 3.8671 3.8671 8.4010 Å, 90.00 90.00 90.00°
Space group I4/mmm (No. 139)
Inequivalent atoms, fractional coordinates:
Ti: 0.0000 0.0000 0.0000
Ti: 0.0000 0.5000 0.2500
Ga: 0.0000 0.0000 0.5000

Its formation enthalpy at 0 K is -7.8 kcal/mol of atoms. The calculated total energy is -7.413 eV per atom.